(1)
DFT (PBE) results for an optimized crystal structure of CaTe2Au.

Cell lengths 6.767, 6.767, 6.767 Å; angles 108.19, 108.19, 112.07 degrees
Sites, in units of the cell vectors:
Ca: 0.000 0.000 0.000
Ca: 0.750 0.250 0.500
Te: 0.171 0.625 0.046
Te: 0.375 0.421 0.546
Te: 0.579 0.125 0.954
Te: 0.875 0.829 0.454
Au: 0.250 0.750 0.500
Au: 0.500 0.500 0.000

Output
Space group = No. 122
Energy relative to the elements, uncorrected = -2.624 eV per formula unit

(2)
DFT (PBE) results for an optimized crystal structure of DyEr2S2.

Cell lengths 9.725, 9.725, 9.725 Å; angles 22.47, 22.47, 22.47 degrees
Sites, in units of the cell vectors:
Dy: 0.000 0.000 0.000
Er: 0.216 0.216 0.216
Er: 0.784 0.784 0.784
S: 0.392 0.392 0.392
S: 0.608 0.608 0.608

Output
Space group = No. 166
Energy relative to the elements, uncorrected = -7.830 eV per formula unit

(3)
DFT (PBE) results for an optimized crystal structure of Ce3PaRh12.

Cell lengths 4.058, 4.058, 16.292 Å; angles 90.00, 90.00, 90.00 degrees
Sites, in units of the cell vectors:
Ce: 0.000 0.000 0.000
Ce: 0.000 0.000 0.250
Ce: 0.000 0.000 0.750
Pa: 0.000 0.000 0.500
Rh: 0.000 0.500 0.125
Rh: 0.000 0.500 0.378
Rh: 0.000 0.500 0.622
Rh: 0.000 0.500 0.875
Rh: 0.500 0.000 0.125
Rh: 0.500 0.000 0.378
Rh: 0.500 0.000 0.622
Rh: 0.500 0.000 0.875
Rh: 0.500 0.500 0.000
Rh: 0.500 0.500 0.251
Rh: 0.500 0.500 0.500
Rh: 0.500 0.500 0.749

Output
Space group = No. 123
Formation energy from the elements = -0.703 eV/atom

(4)
DFT (PBE) results for an optimized crystal structure of KCr2Si.

Cell lengths 8.959, 8.959, 8.959 Å; angles 142.71, 142.71, 53.75 degrees
Sites, in units of the cell vectors:
K: 0.375 0.625 0.750
K: 0.625 0.375 0.250
Cr: 0.000 0.000 0.000
Cr: 0.000 0.000 0.500
Cr: 0.000 0.500 0.000
Cr: 0.500 0.000 0.500
Si: 0.125 0.875 0.250
Si: 0.875 0.125 0.750

Output
Space group = No. 141
Energy relative to the elements, uncorrected = 3.600 eV per formula unit

(5)
DFT (PBE) results for an optimized crystal structure of TbPrDy6Tm2.

Cell lengths 8.767, 8.767, 9.446 Å; angles 93.12, 93.12, 117.02 degrees
Sites, in units of the cell vectors:
Tb: 0.090 0.910 0.750
Tb: 0.910 0.090 0.250
Pr: 0.469 0.531 0.250
Pr: 0.531 0.469 0.750
Dy: 0.015 0.792 0.384
Dy: 0.060 0.514 0.181
Dy: 0.208 0.985 0.116
Dy: 0.255 0.619 0.557
Dy: 0.381 0.745 0.943
Dy: 0.486 0.940 0.319
Dy: 0.514 0.060 0.681
Dy: 0.619 0.255 0.057
Dy: 0.745 0.381 0.443
Dy: 0.792 0.015 0.884
Dy: 0.940 0.486 0.819
Dy: 0.985 0.208 0.616
Tm: 0.196 0.299 0.951
Tm: 0.299 0.196 0.451
Tm: 0.701 0.804 0.549
Tm: 0.804 0.701 0.049

Output
Space group = No. 15
Formation energy from the elements = 0.121 eV/atom

(6)
DFT (PBE) results for an optimized crystal structure of Tb4YScSe8.

Cell lengths 8.372, 8.372, 8.372 Å; angles 60.02, 60.02, 60.02 degrees
Sites, in units of the cell vectors:
Tb: 0.000 0.000 0.000
Tb: 0.379 0.379 0.864
Tb: 0.379 0.864 0.379
Tb: 0.864 0.379 0.379
Y: 0.379 0.379 0.379
Sc: 0.750 0.750 0.750
Se: 0.132 0.623 0.623
Se: 0.134 0.134 0.134
Se: 0.134 0.134 0.599
Se: 0.134 0.599 0.134
Se: 0.599 0.134 0.134
Se: 0.623 0.132 0.623
Se: 0.623 0.623 0.132
Se: 0.623 0.623 0.623

Output
Space group = No. 160
Energy relative to the elements, uncorrected = -23.992 eV per formula unit